(1)
VASP calculation (PBE) on an optimized crystal structure of Ce8Os3Br3N.

* space group: R-3m (166)
* formation energy without anion corrections: -0.698 eV/atom

a = 8.9724 Å, b = 8.9724 Å, c = 8.9724 Å
α = 52.45°, β = 52.45°, γ = 52.45°
Last column: nearest neighbours and their distance in Å.
Atoms (fractional coordinates):
Ce (0.2320, 0.2320, 0.2320)  3 Os 2.74
Ce (0.2578, 0.7145, 0.7145)  1 N 2.54, 2 Os 2.79
Ce (0.2855, 0.2855, 0.7422)  1 N 2.54, 2 Os 2.79
Ce (0.2855, 0.7422, 0.2855)  1 N 2.54, 2 Os 2.79
Ce (0.7145, 0.2578, 0.7145)  1 N 2.54, 2 Os 2.79
Ce (0.7145, 0.7145, 0.2578)  1 N 2.54, 2 Os 2.79
Ce (0.7422, 0.2855, 0.2855)  1 N 2.54, 2 Os 2.79
Ce (0.7680, 0.7680, 0.7680)  3 Os 2.74
Os (0.0000, 0.0000, 0.5000)  6 Ce 2.74-2.79
Os (0.0000, 0.5000, 0.0000)  6 Ce 2.74-2.79
Os (0.5000, 0.0000, 0.0000)  6 Ce 2.74-2.79
Br (0.0000, 0.5000, 0.5000)  6 Ce 3.27-3.28
Br (0.5000, 0.0000, 0.5000)  6 Ce 3.27-3.28
Br (0.5000, 0.5000, 0.0000)  6 Ce 3.27-3.28
N (0.5000, 0.5000, 0.5000)  6 Ce 2.54

=====

(2)
VASP calculation (PBE) on an optimized crystal structure of Ce8Os3Br4N.

* space group: R-3m (166)
* formation energy without anion corrections: -0.874 eV/atom

a = 8.9396 Å, b = 8.9396 Å, c = 8.9396 Å
α = 52.65°, β = 52.65°, γ = 52.65°
Last column: nearest neighbours and their distance in Å.
Atoms (fractional coordinates):
Ce (0.2325, 0.2325, 0.2325)  3 Os 2.75
Ce (0.2553, 0.7169, 0.7169)  1 N 2.56, 2 Os 2.79
Ce (0.2831, 0.2831, 0.7447)  1 N 2.56, 2 Os 2.79
Ce (0.2831, 0.7447, 0.2831)  1 N 2.56, 2 Os 2.79
Ce (0.7169, 0.2553, 0.7169)  1 N 2.56, 2 Os 2.79
Ce (0.7169, 0.7169, 0.2553)  1 N 2.56, 2 Os 2.79
Ce (0.7447, 0.2831, 0.2831)  1 N 2.56, 2 Os 2.79
Ce (0.7675, 0.7675, 0.7675)  3 Os 2.75
Os (0.0000, 0.0000, 0.5000)  6 Ce 2.75-2.79
Os (0.0000, 0.5000, 0.0000)  6 Ce 2.75-2.79
Os (0.5000, 0.0000, 0.0000)  6 Ce 2.75-2.79
Br (0.0000, 0.0000, 0.0000)  6 Ce 3.43
Br (0.0000, 0.5000, 0.5000)  6 Ce 3.25-3.26
Br (0.5000, 0.0000, 0.5000)  6 Ce 3.25-3.26
Br (0.5000, 0.5000, 0.0000)  6 Ce 3.25-3.26
N (0.5000, 0.5000, 0.5000)  6 Ce 2.56

=====

Number 1: V 28.009 Å³ per atom. Number 2: V 26.126 Å³ per atom.